1.
! Pm12Cd3H5 | the Alexandria database | PBE-GGA | optimized geometry; values from VASP
&SYSTEM
  ibrav = 0, nat = 80, ntyp = 3
/
ATOMIC_SPECIES
H 1.01 H.upf
Pm 145.00 Pm.upf
Cd 112.41 Cd.upf
CELL_PARAMETERS angstrom
13.870 0.000 0.000
-4.623 13.077 0.000
-4.623 -6.538 11.325
ATOMIC_POSITIONS angstrom
H 2.312 3.269 5.662
H 4.623 -3.269 5.662
H 3.468 2.452 1.416
H 5.779 3.269 8.494
H 5.779 -4.087 9.909
H -1.156 0.817 7.078
H -1.156 10.625 1.416
H -2.312 6.538 0.000
H 1.156 4.087 9.909
H 6.935 0.000 0.000
H 0.000 0.000 0.000
H 8.091 -0.817 7.078
H -2.312 -3.269 5.662
H -4.623 3.269 5.662
H 4.623 6.538 0.000
H 5.779 5.721 4.247
H 1.156 -3.269 8.494
H -1.156 3.269 2.831
H -3.468 7.356 4.247
H 3.468 9.808 2.831
Pm 0.026 4.053 4.582
Pm 3.123 4.656 1.100
Pm 5.660 9.876 3.344
Pm 10.058 6.527 2.180
Pm 1.822 4.688 7.843
Pm 1.500 -1.894 10.245
Pm -2.801 7.718 9.006
Pm 3.586 5.311 4.562
Pm 6.446 7.210 5.801
Pm 5.660 1.974 1.219
Pm -1.037 4.565 10.106
Pm 9.221 1.327 0.138
Pm -4.597 5.211 11.187
Pm -0.489 1.179 2.319
Pm -2.338 2.725 6.881
Pm -1.500 -0.011 9.145
Pm 1.500 1.883 10.225
Pm 1.037 1.227 6.762
Pm 2.286 9.024 4.582
Pm -1.822 -0.672 5.524
Pm -5.435 0.011 9.145
Pm 5.435 -1.883 10.225
Pm 7.425 -1.179 2.319
Pm 0.489 8.389 7.843
Pm 4.597 2.486 6.743
Pm 3.123 8.432 1.080
Pm 4.134 -1.851 3.482
Pm -0.811 4.645 1.080
Pm -3.349 11.103 1.219
Pm 10.522 3.201 3.344
Pm 5.113 5.359 9.006
Pm 5.435 1.894 10.245
Pm 7.972 -4.565 10.106
Pm -4.649 9.264 4.444
Pm 2.338 -2.486 6.743
Pm -1.037 -3.338 7.981
Pm 6.961 3.813 4.444
Pm 6.124 6.550 2.180
Pm 8.757 0.672 5.524
Pm -4.134 5.867 5.801
Pm -0.811 8.421 1.100
Pm -1.275 7.765 4.562
Pm 9.273 -2.725 6.881
Pm -5.898 3.338 7.981
Pm 2.801 1.851 3.482
Pm -2.338 -5.211 11.187
Pm 5.898 -1.227 6.762
Pm 6.961 11.750 0.138
Cd 1.156 -0.817 4.247
Cd 3.468 0.000 8.494
Cd -3.468 2.452 9.909
Cd 10.403 0.000 2.831
Cd -5.779 6.538 8.494
Cd 8.091 4.087 1.416
Cd 1.156 6.538 2.831
Cd 5.779 0.817 4.247
Cd -3.468 -2.452 9.909
Cd 8.091 8.990 1.416
Cd 3.468 7.356 7.078
Cd -1.156 5.721 7.078
! Raw total energy (eV per atom): -4.017



2.
! PmCdH | the Alexandria database | PBE-GGA | optimized geometry; values from VASP
&SYSTEM
  ibrav = 0, nat = 6, ntyp = 3
/
ATOMIC_SPECIES
Pm 145.00 Pm.upf
Cd 112.41 Cd.upf
H 1.01 H.upf
CELL_PARAMETERS angstrom
-1.417 -1.624 -3.086
3.044 1.069 -1.961
0.752 -8.168 3.952
ATOMIC_POSITIONS angstrom
Pm 2.917 -4.829 0.053
Pm -0.538 -3.893 -1.148
Cd 1.631 -7.942 -0.014
Cd 0.748 -0.781 -1.081
H 1.592 -4.497 -1.808
H 0.788 -4.225 0.713
! Energy above the most stable polymorph in this dataset (meV per atom): 0.0



3.
! Pm2CdH | the Alexandria database | PBE-GGA | optimized geometry; values from VASP
&SYSTEM
  ibrav = 0, nat = 4, ntyp = 3
/
ATOMIC_SPECIES
H 1.01 H.upf
Pm 145.00 Pm.upf
Cd 112.41 Cd.upf
CELL_PARAMETERS angstrom
-3.205 -0.671 -0.714
-0.543 -0.820 3.204
-1.917 7.474 1.589
ATOMIC_POSITIONS angstrom
H -1.874 -0.745 1.245
Pm -1.517 5.911 1.257
Pm -0.401 1.562 0.332
Cd -2.833 2.991 2.039
! Energy above the most stable polymorph in this dataset (meV per atom): 203.3